A relaxed BeTlP2 crystal. Source: the Alexandria database, functional PBE.

Properties
The offset from the most stable computed form is 63 meV per atom. The value obtained for the formation energy is 0.125 eV per atom.

a = 3.9535 Å, b = 3.2534 Å, c = 6.3903 Å
α = 90.00°, β = 92.23°, γ = 90.00°
Space group Pm (No. 6)
Symmetry-distinct sites (fractional):
Be  0.0000  0.0000  0.0000 [1 per cell]
Tl  0.8447  0.5000  0.4822 [1 per cell]
P  0.3224  0.5000  0.1125 [1 per cell]
P  0.5020  0.0000  0.8663 [1 per cell]